(1)
Here is a relaxed Nb2AuC2 crystal from Alexandria via LeMat-Bulk. Energies are from PBE-GGA.

```
10
Lattice="6.455 0.000 0.000 0.000 6.455 0.000 0.000 0.000 2.988" Properties=species:S:1:pos:R:3 pbc="T T T"
Nb 0.962 2.266 0.000
Nb 2.266 5.493 0.000
Nb 4.189 0.962 0.000
Nb 5.493 4.189 0.000
Au 0.000 0.000 1.494
Au 3.228 3.228 1.494
C 0.925 4.153 1.494
C 2.302 0.925 1.494
C 4.153 5.530 1.494
C 5.530 2.302 1.494
```

Properties
polymorph energy (0 for the lowest one)	218	meV/atom
N(E_F)	5.16	states/eV per cell
raw total energy	-80.0	eV/cell
SG	P4/mbm, No. 127
total moment	0.00	μB/f.u.

(2)
Here is a relaxed Nb6Au2C crystal from Alexandria via LeMat-Bulk. Energies are from PBE-GGA.

```
9
Lattice="7.249 0.000 0.000 -3.625 6.278 0.000 0.000 0.000 3.339" Properties=species:S:1:pos:R:3 pbc="T T T"
Nb -0.847 1.468 0.000
Nb -2.339 4.052 1.670
Nb 1.695 0.000 0.000
Nb 1.286 2.227 1.670
Nb 4.678 0.000 1.670
Nb 2.777 4.811 0.000
Au 0.000 4.185 0.000
Au 3.625 2.093 0.000
C 0.000 0.000 1.670
```

Properties
N(E_F)	7.53	states/eV per cell
raw total energy	-77.0	eV/cell
SG	P-62m, No. 189
total moment	0.00	μB/f.u.

(3)
Here is a relaxed Nb2AuC crystal from Alexandria via LeMat-Bulk. Energies are from PBE-GGA.

```
16
Lattice="6.500 0.000 0.000 0.000 6.500 0.000 0.000 0.000 6.073" Properties=species:S:1:pos:R:3 pbc="T T T"
Nb 1.128 1.625 0.759
Nb 1.625 4.378 2.278
Nb 1.625 5.372 5.314
Nb 2.122 1.625 3.796
Nb 4.378 4.875 3.796
Nb 4.875 1.128 5.314
Nb 4.875 2.122 2.278
Nb 5.372 4.875 0.759
Au 0.000 0.000 3.037
Au 0.000 3.250 4.555
Au 3.250 0.000 1.518
Au 3.250 3.250 0.000
C 0.000 0.000 0.000
C 0.000 3.250 1.518
C 3.250 0.000 4.555
C 3.250 3.250 3.037
```

Properties
N(E_F)	12.92	states/eV per cell
raw total energy	-128.0	eV/cell
SG	I-42d, No. 122
total moment	0.00	μB/f.u.

(4)
Here is a relaxed Nb3Au3C crystal from Alexandria via LeMat-Bulk. Energies are from PBE-GGA.

```
28
Lattice="0.000 6.142 6.142 6.142 0.000 6.142 6.142 6.142 0.000" Properties=species:S:1:pos:R:3 pbc="T T T"
Nb 4.606 4.606 0.612
Nb 4.606 0.612 4.606
Nb 8.601 4.606 4.606
Nb 7.677 7.677 3.682
Nb 7.677 3.682 7.677
Nb 11.671 7.677 7.677
Nb 0.612 4.606 4.606
Nb 4.606 8.601 4.606
Nb 4.606 4.606 8.601
Nb 3.682 7.677 7.677
Nb 7.677 11.671 7.677
Nb 7.677 7.677 11.671
Au 6.142 3.071 3.071
Au 3.504 3.504 3.504
Au 5.708 5.708 3.504
Au 5.708 3.504 5.708
Au 8.779 6.575 6.575
Au 3.071 6.142 3.071
Au 3.071 3.071 6.142
Au 6.142 6.142 6.142
Au 3.504 5.708 5.708
Au 6.575 8.779 6.575
Au 6.575 6.575 8.779
Au 8.779 8.779 8.779
C 0.000 0.000 0.000
C 3.071 3.071 0.000
C 3.071 0.000 3.071
C 0.000 3.071 3.071
```

Properties
N(E_F)	8.68	states/eV per cell
raw total energy	-202.1	eV/cell
SG	Fd-3m, No. 227
total moment	0.00	μB/f.u.

(5)
Here is a relaxed Nb3AuC crystal from Alexandria via LeMat-Bulk. Energies are from PBE-GGA.

```
5
Lattice="4.946 0.000 0.000 0.000 4.946 0.000 0.000 0.000 4.946" Properties=species:S:1:pos:R:3 pbc="T T T"
Nb 0.000 0.000 2.473
Nb 0.000 2.473 0.000
Nb 2.473 0.000 0.000
Au 0.000 0.000 0.000
C 2.473 2.473 2.473
```

Properties
polymorph energy (0 for the lowest one)	3111	meV/atom
N(E_F)	6.24	states/eV per cell
raw total energy	-28.8	eV/cell
SG	Pm-3m, No. 221
total moment	0.00	μB/f.u.

(6)
Here is a relaxed NbAuC2 crystal from Alexandria via LeMat-Bulk. Energies are from PBE-GGA.

```
16
Lattice="4.930 0.000 0.000 0.000 4.930 0.000 0.000 0.000 9.685" Properties=species:S:1:pos:R:3 pbc="T T T"
Nb 0.000 0.000 0.000
Nb 0.000 2.465 2.421
Nb 2.465 0.000 7.264
Nb 2.465 2.465 4.842
Au 0.000 0.000 4.842
Au 0.000 2.465 7.264
Au 2.465 0.000 2.421
Au 2.465 2.465 0.000
C 1.148 1.233 1.211
C 1.233 3.613 3.632
C 1.233 3.783 8.474
C 1.317 1.233 6.053
C 3.613 3.698 6.053
C 3.698 1.148 8.474
C 3.698 1.317 3.632
C 3.783 3.698 1.211
```

Properties
polymorph energy (0 for the lowest one)	0	meV/atom
N(E_F)	7.79	states/eV per cell
raw total energy	-112.2	eV/cell
SG	I-42d, No. 122
total moment	0.00	μB/f.u.

(7)
Here is a relaxed Nb2AuC crystal from Alexandria via LeMat-Bulk. Energies are from PBE-GGA.

```
12
Lattice="3.170 0.000 0.000 -1.585 2.745 0.000 0.000 0.000 21.076" Properties=species:S:1:pos:R:3 pbc="T T T"
Nb 0.000 0.000 0.000
Nb 0.000 0.000 4.626
Nb 0.000 1.830 14.050
Nb 0.000 1.830 18.677
Nb 1.585 0.915 7.025
Nb 1.585 0.915 11.652
Au 0.000 0.000 16.388
Au 0.000 1.830 9.362
Au 1.585 0.915 2.337
C 0.000 0.000 12.845
C 0.000 1.830 5.820
C 1.585 0.915 19.871
```

Properties
N(E_F)	8.97	states/eV per cell
raw total energy	-102.4	eV/cell
SG	R3m, No. 160
total moment	0.00	μB/f.u.

(8)
Here is a relaxed Nb6AuC crystal from Alexandria via LeMat-Bulk. Energies are from PBE-GGA.

```
8
Lattice="4.925 0.000 0.000 -0.235 5.373 0.000 -1.690 -0.876 5.153" Properties=species:S:1:pos:R:3 pbc="T T T"
Nb -0.028 1.476 0.736
Nb 0.094 4.189 2.273
Nb 0.638 1.554 3.771
Nb 2.362 2.944 1.382
Nb 2.906 0.309 2.880
Nb 3.029 3.021 4.417
Au 2.462 0.000 0.000
C -0.962 2.249 2.577
```

Properties
N(E_F)	6.84	states/eV per cell
raw total energy	-73.5	eV/cell
SG	P-1, No. 2
total moment	0.00	μB/f.u.

(9)
Here is a relaxed NbAuC2 crystal from Alexandria via LeMat-Bulk. Energies are from PBE-GGA.

```
16
Lattice="5.702 0.000 0.000 0.000 5.702 0.000 0.000 0.000 5.702" Properties=species:S:1:pos:R:3 pbc="T T T"
Nb 0.000 0.000 0.000
Nb 0.000 2.851 2.851
Nb 2.851 0.000 2.851
Nb 2.851 2.851 0.000
Au 0.000 0.000 2.851
Au 0.000 2.851 0.000
Au 2.851 0.000 0.000
Au 2.851 2.851 2.851
C 1.425 1.425 1.425
C 1.425 1.425 4.276
C 1.425 4.276 1.425
C 1.425 4.276 4.276
C 4.276 1.425 1.425
C 4.276 1.425 4.276
C 4.276 4.276 1.425
C 4.276 4.276 4.276
```

Properties
polymorph energy (0 for the lowest one)	550	meV/atom
N(E_F)	7.01	states/eV per cell
raw total energy	-103.4	eV/cell
SG	Fm-3m, No. 225
total moment	0.00	μB/f.u.

(10)
Here is a relaxed Nb3AuC crystal from Alexandria via LeMat-Bulk. Energies are from PBE-GGA.

```
5
Lattice="4.311 0.000 0.000 0.000 4.311 0.000 0.000 0.000 4.311" Properties=species:S:1:pos:R:3 pbc="T T T"
Nb 0.000 0.000 2.155
Nb 0.000 2.155 0.000
Nb 2.155 0.000 0.000
Au 2.155 2.155 2.155
C 0.000 0.000 0.000
```

Properties
polymorph energy (0 for the lowest one)	75	meV/atom
N(E_F)	1.52	states/eV per cell
raw total energy	-44.0	eV/cell
SG	Pm-3m, No. 221
total moment	0.00	μB/f.u.

(11)
Here is a relaxed Nb7Au2C2 crystal from Alexandria via LeMat-Bulk. Energies are from PBE-GGA.

```
11
Lattice="3.248 -4.821 0.000 3.248 4.821 0.000 -1.393 0.000 6.859" Properties=species:S:1:pos:R:3 pbc="T T T"
Nb 0.000 0.000 0.000
Nb 0.802 2.062 5.696
Nb 2.375 0.000 1.292
Nb 4.302 2.062 1.163
Nb 0.802 -2.062 5.696
Nb 2.729 0.000 5.566
Nb 4.302 -2.062 1.163
Au 2.552 1.927 3.429
Au 2.552 -1.927 3.429
C 0.580 0.000 5.944
C 4.525 0.000 0.915
```

Properties
N(E_F)	9.90	states/eV per cell
raw total energy	-93.6	eV/cell
SG	C2/m, No. 12
total moment	0.00	μB/f.u.

(12)
Here is a relaxed NbAu2C crystal from Alexandria via LeMat-Bulk. Energies are from PBE-GGA.

```
16
Lattice="7.519 0.000 0.000 0.000 7.519 0.000 0.000 0.000 4.573" Properties=species:S:1:pos:R:3 pbc="T T T"
Nb 0.000 0.000 0.000
Nb 0.000 3.760 1.143
Nb 3.760 0.000 3.430
Nb 3.760 3.760 2.286
Au 1.168 1.880 2.858
Au 1.880 4.928 4.001
Au 1.880 6.351 1.715
Au 2.591 1.880 0.572
Au 4.928 5.639 0.572
Au 5.639 1.168 1.715
Au 5.639 2.591 4.001
Au 6.351 5.639 2.858
C 0.000 0.000 2.286
C 0.000 3.760 3.430
C 3.760 0.000 1.143
C 3.760 3.760 0.000
```

Properties
N(E_F)	10.93	states/eV per cell
raw total energy	-90.6	eV/cell
SG	I-42d, No. 122
total moment	0.00	μB/f.u.